Compound: NbNi6Pt
Source: Alexandria
Functional: GGA-PBE
Structure: optimized geometry

**Total DFT energy (no corrections)**: -6.512 eV per atom
**Space group**: Cmmm
**Magnetization**: 0.055 μB/atom

a = 6.349 Å, b = 6.349 Å, c = 10.391 Å
α = 90.00°, β = 90.00°, γ = 109.73°
Positions (direct):
Nb: 0.000 0.000 0.247
Nb: 0.000 0.000 0.753
Nb: 0.247 0.753 0.500
Nb: 0.753 0.247 0.500
Ni: 0.000 0.000 0.000
Ni: 0.000 0.000 0.500
Ni: 0.125 0.375 0.126
Ni: 0.125 0.375 0.376
Ni: 0.125 0.375 0.624
Ni: 0.125 0.375 0.874
Ni: 0.248 0.752 0.253
Ni: 0.248 0.752 0.747
Ni: 0.375 0.125 0.126
Ni: 0.375 0.125 0.376
Ni: 0.375 0.125 0.624
Ni: 0.375 0.125 0.874
Ni: 0.500 0.500 0.000
Ni: 0.500 0.500 0.500
Ni: 0.625 0.875 0.126
Ni: 0.625 0.875 0.376
Ni: 0.625 0.875 0.624
Ni: 0.625 0.875 0.874
Ni: 0.752 0.248 0.253
Ni: 0.752 0.248 0.747
Ni: 0.875 0.625 0.126
Ni: 0.875 0.625 0.376
Ni: 0.875 0.625 0.624
Ni: 0.875 0.625 0.874
Pt: 0.245 0.755 0.000
Pt: 0.500 0.500 0.247
Pt: 0.500 0.500 0.753
Pt: 0.755 0.245 0.000

Compound: Tl2RuSe
Source: Alexandria
Functional: GGA-PBE
Structure: optimized geometry

**Total DFT energy (no corrections)**: -4.292 eV per atom
**Space group**: Cm
**Energy relative to the elements, uncorrected**: 0.08 eV/atom
**Magnetization**: 0.000 μB/atom

a = 10.258 Å, b = 3.223 Å, c = 6.440 Å
α = 90.00°, β = 113.98°, γ = 90.00°
Positions (direct):
Tl: 0.000 0.000 0.000
Tl: 0.166 0.000 0.630
Tl: 0.500 0.500 0.000
Tl: 0.666 0.500 0.630
Ru: 0.243 0.500 0.047
Ru: 0.743 0.000 0.047
Se: 0.344 0.000 0.350
Se: 0.844 0.500 0.350

Compound: AlVReNi
Source: Alexandria
Functional: GGA-PBE
Structure: optimized geometry

**Total DFT energy (no corrections)**: -8.059 eV per atom
**Space group**: F-43m
**Magnetization**: 0.047 μB/atom

a = 5.972 Å, b = 5.972 Å, c = 5.972 Å
α = 90.00°, β = 90.00°, γ = 90.00°
Positions (direct):
Al: 0.000 0.000 0.000
Al: 0.000 0.500 0.500
Al: 0.500 0.000 0.500
Al: 0.500 0.500 0.000
V: 0.000 0.000 0.500
V: 0.000 0.500 0.000
V: 0.500 0.000 0.000
V: 0.500 0.500 0.500
Re: 0.250 0.250 0.250
Re: 0.250 0.750 0.750
Re: 0.750 0.250 0.750
Re: 0.750 0.750 0.250
Ni: 0.250 0.250 0.750
Ni: 0.250 0.750 0.250
Ni: 0.750 0.250 0.250
Ni: 0.750 0.750 0.750

Compound: LiThMg4
Source: Alexandria
Functional: GGA-PBE
Structure: optimized geometry

**Total DFT energy (no corrections)**: -2.494 eV per atom
**Space group**: F-43m
**Magnetization**: 0.000 μB/atom

a = 5.987 Å, b = 5.987 Å, c = 5.987 Å
α = 60.00°, β = 60.00°, γ = 60.00°
Positions (direct):
Li: 0.000 0.000 0.000
Th: 0.250 0.250 0.250
Mg: 0.127 0.624 0.624
Mg: 0.624 0.127 0.624
Mg: 0.624 0.624 0.127
Mg: 0.624 0.624 0.624

Compound: BeNi2Au
Source: Alexandria
Functional: GGA-PBE
Structure: optimized geometry

**Total DFT energy (no corrections)**: -4.674 eV per atom
**Space group**: I4/mmm
**Magnetization**: 0.000 μB/atom

a = 3.592 Å, b = 3.592 Å, c = 7.484 Å
α = 90.00°, β = 90.00°, γ = 90.00°
Positions (direct):
Be: 0.000 0.000 0.000
Be: 0.500 0.500 0.500
Ni: 0.000 0.500 0.250
Ni: 0.000 0.500 0.750
Ni: 0.500 0.000 0.250
Ni: 0.500 0.000 0.750
Au: 0.000 0.000 0.500
Au: 0.500 0.500 0.000

Compound: Fe13Co3
Source: Alexandria
Functional: GGA-PBE
Structure: optimized geometry

**Total DFT energy (no corrections)**: -8.237 eV per atom
**Space group**: P4/mmm
**Magnetization**: 2.316 μB/atom

a = 5.697 Å, b = 5.697 Å, c = 5.680 Å
α = 90.00°, β = 90.00°, γ = 90.00°
Positions (direct):
Fe: 0.000 0.000 0.000
Fe: 0.000 0.500 0.000
Fe: 0.000 0.500 0.500
Fe: 0.251 0.251 0.251
Fe: 0.251 0.251 0.749
Fe: 0.251 0.749 0.251
Fe: 0.251 0.749 0.749
Fe: 0.500 0.000 0.000
Fe: 0.500 0.000 0.500
Fe: 0.749 0.251 0.251
Fe: 0.749 0.251 0.749
Fe: 0.749 0.749 0.251
Fe: 0.749 0.749 0.749
Co: 0.000 0.000 0.500
Co: 0.500 0.500 0.000
Co: 0.500 0.500 0.500

Compound: Mg3Sn5
Source: Alexandria
Functional: GGA-PBE
Structure: optimized geometry

**Total DFT energy (no corrections)**: -3.166 eV per atom
**Space group**: P4/mmm
**Magnetization**: 0.000 μB/atom

a = 3.392 Å, b = 3.392 Å, c = 17.283 Å
α = 90.00°, β = 90.00°, γ = 90.00°
Positions (direct):
Mg: 0.000 0.000 0.000
Mg: 0.500 0.500 0.382
Mg: 0.500 0.500 0.618
Sn: 0.000 0.000 0.260
Sn: 0.000 0.000 0.500
Sn: 0.000 0.000 0.740
Sn: 0.500 0.500 0.121
Sn: 0.500 0.500 0.879

Compound: LiHg2SbIr
Source: Alexandria
Functional: GGA-PBE
Structure: optimized geometry

**Total DFT energy (no corrections)**: -2.593 eV per atom
**Space group**: P4/mmm
**Energy relative to the elements, uncorrected**: 0.51 eV/atom
**Magnetization**: 0.053 μB/atom

a = 5.219 Å, b = 5.219 Å, c = 4.634 Å
α = 90.00°, β = 90.00°, γ = 90.00°
Positions (direct):
Li: 0.000 0.000 0.000
Hg: 0.000 0.500 0.500
Hg: 0.500 0.000 0.500
Sb: 0.500 0.500 0.000
Ir: 0.000 0.000 0.500

Compound: CdTe
Source: Alexandria
Functional: GGA-PBE
Structure: optimized geometry

**Total DFT energy (no corrections)**: -1.884 eV per atom
**Space group**: P-3m1
**Energy relative to the elements, uncorrected**: 0.14 eV/atom
**Magnetization**: 0.000 μB/atom

a = 3.495 Å, b = 3.495 Å, c = 10.607 Å
α = 90.00°, β = 90.00°, γ = 120.00°
Positions (direct):
Cd: 0.333 0.667 0.108
Cd: 0.667 0.333 0.892
Te: 0.333 0.667 0.668
Te: 0.667 0.333 0.332

Compound: Tb6Pm19Er4
Source: Alexandria
Functional: GGA-PBE
Structure: optimized geometry

**Total DFT energy (no corrections)**: -4.340 eV per atom
**Space group**: I23
**Magnetization**: 0.000 μB/atom

a = 10.921 Å, b = 10.921 Å, c = 10.921 Å
α = 109.47°, β = 109.47°, γ = 109.47°
Positions (direct):
Tb: 0.125 0.500 0.625
Tb: 0.375 0.875 0.500
Tb: 0.500 0.375 0.875
Tb: 0.500 0.625 0.125
Tb: 0.625 0.125 0.500
Tb: 0.875 0.500 0.375
Pm: 0.000 0.000 0.000
Pm: 0.000 0.259 0.259
Pm: 0.000 0.741 0.741
Pm: 0.021 0.219 0.677
Pm: 0.198 0.979 0.656
Pm: 0.219 0.677 0.021
Pm: 0.259 0.000 0.259
Pm: 0.259 0.259 0.000
Pm: 0.323 0.542 0.344
Pm: 0.344 0.323 0.542
Pm: 0.458 0.781 0.802
Pm: 0.542 0.344 0.323
Pm: 0.656 0.198 0.979
Pm: 0.677 0.021 0.219
Pm: 0.741 0.000 0.741
Pm: 0.741 0.741 0.000
Pm: 0.781 0.802 0.458
Pm: 0.802 0.458 0.781
Pm: 0.979 0.656 0.198
Er: 0.000 0.000 0.360
Er: 0.000 0.360 0.000
Er: 0.360 0.000 0.000
Er: 0.640 0.640 0.640

Compound: TaMo2Pb
Source: Alexandria
Functional: GGA-PBE
Structure: optimized geometry

**Total DFT energy (no corrections)**: -8.760 eV per atom
**Space group**: C2/m
**Magnetization**: 0.000 μB/atom

a = 5.917 Å, b = 9.214 Å, c = 2.927 Å
α = 90.00°, β = 113.13°, γ = 90.00°
Positions (direct):
Ta: 0.000 0.000 0.000
Ta: 0.500 0.500 0.000
Mo: 0.250 0.250 0.500
Mo: 0.250 0.750 0.500
Mo: 0.750 0.250 0.500
Mo: 0.750 0.750 0.500
Pb: 0.000 0.500 0.000
Pb: 0.500 0.000 0.000

Compound: ZnCrCd2
Source: Alexandria
Functional: GGA-PBE
Structure: optimized geometry

**Total DFT energy (no corrections)**: -2.901 eV per atom
**Space group**: P4/mmm
**Magnetization**: 1.031 μB/atom

a = 3.577 Å, b = 3.577 Å, c = 5.937 Å
α = 90.00°, β = 90.00°, γ = 90.00°
Positions (direct):
Zn: 0.000 0.000 0.000
Cr: 0.000 0.000 0.500
Cd: 0.500 0.500 0.249
Cd: 0.500 0.500 0.751

Compound: SrErCdCu
Source: Alexandria
Functional: GGA-PBE
Structure: optimized geometry

**Total DFT energy (no corrections)**: -2.904 eV per atom
**Space group**: F-43m
**Magnetization**: 0.000 μB/atom

a = 7.481 Å, b = 7.481 Å, c = 7.481 Å
α = 90.00°, β = 90.00°, γ = 90.00°
Positions (direct):
Sr: 0.000 0.000 0.000
Sr: 0.000 0.500 0.500
Sr: 0.500 0.000 0.500
Sr: 0.500 0.500 0.000
Er: 0.000 0.000 0.500
Er: 0.000 0.500 0.000
Er: 0.500 0.000 0.000
Er: 0.500 0.500 0.500
Cd: 0.250 0.250 0.250
Cd: 0.250 0.750 0.750
Cd: 0.750 0.250 0.750
Cd: 0.750 0.750 0.250
Cu: 0.250 0.250 0.750
Cu: 0.250 0.750 0.250
Cu: 0.750 0.250 0.250
Cu: 0.750 0.750 0.750

Compound: Ac2NiAg
Source: Alexandria
Functional: GGA-PBE
Structure: optimized geometry

**Total DFT energy (no corrections)**: -4.396 eV per atom
**Space group**: P4/mmm
**Magnetization**: 0.000 μB/atom

a = 3.797 Å, b = 3.797 Å, c = 7.787 Å
α = 90.00°, β = 90.00°, γ = 90.00°
Positions (direct):
Ac: 0.000 0.000 0.229
Ac: 0.000 0.000 0.771
Ni: 0.500 0.500 0.000
Ag: 0.500 0.500 0.500

Compound: YMg2ScH
Source: Alexandria
Functional: GGA-PBE
Structure: optimized geometry

**Total DFT energy (no corrections)**: -3.944 eV per atom
**Space group**: P4/mmm
**Magnetization**: 0.000 μB/atom

a = 4.858 Å, b = 4.858 Å, c = 4.355 Å
α = 90.00°, β = 90.00°, γ = 90.00°
Positions (direct):
Y: 0.000 0.000 0.000
Mg: 0.000 0.500 0.500
Mg: 0.500 0.000 0.500
Sc: 0.500 0.500 0.000
H: 0.000 0.000 0.500

Compound: Sc2Cu2Ge
Source: Alexandria
Functional: GGA-PBE
Structure: optimized geometry

**Total DFT energy (no corrections)**: -5.215 eV per atom
**Space group**: P4/mbm
**Magnetization**: 0.000 μB/atom

a = 7.444 Å, b = 7.444 Å, c = 3.333 Å
α = 90.00°, β = 90.00°, γ = 90.00°
Positions (direct):
Sc: 0.168 0.332 0.000
Sc: 0.332 0.832 0.000
Sc: 0.668 0.168 0.000
Sc: 0.832 0.668 0.000
Cu: 0.122 0.622 0.500
Cu: 0.378 0.122 0.500
Cu: 0.622 0.878 0.500
Cu: 0.878 0.378 0.500
Ge: 0.000 0.000 0.000
Ge: 0.500 0.500 0.000

Compound: MnCr2HgBr
Source: Alexandria
Functional: GGA-PBE
Structure: optimized geometry

**Total DFT energy (no corrections)**: -4.959 eV per atom
**Space group**: P4/mmm
**Energy relative to the elements, uncorrected**: 1.12 eV/atom
**Magnetization**: 2.635 μB/atom

a = 5.216 Å, b = 5.216 Å, c = 5.099 Å
α = 90.00°, β = 90.00°, γ = 90.00°
Positions (direct):
Mn: 0.000 0.000 0.000
Cr: 0.000 0.500 0.500
Cr: 0.500 0.000 0.500
Hg: 0.000 0.000 0.500
Br: 0.500 0.500 0.000

Compound: NdZr2Sc
Source: Alexandria
Functional: GGA-PBE
Structure: optimized geometry

**Total DFT energy (no corrections)**: -6.925 eV per atom
**Space group**: P4/mmm
**Magnetization**: 0.000 μB/atom

a = 4.658 Å, b = 4.658 Å, c = 4.716 Å
α = 90.00°, β = 90.00°, γ = 90.00°
Positions (direct):
Nd: 0.000 0.000 0.000
Zr: 0.000 0.500 0.500
Zr: 0.500 0.000 0.500
Sc: 0.500 0.500 0.000

Compound: Al2ZnCr
Source: Alexandria
Functional: GGA-PBE
Structure: optimized geometry

**Total DFT energy (no corrections)**: -4.447 eV per atom
**Space group**: F-43m
**Magnetization**: 0.762 μB/atom

a = 6.213 Å, b = 6.213 Å, c = 6.213 Å
α = 90.00°, β = 90.00°, γ = 90.00°
Positions (direct):
Al: 0.000 0.000 0.000
Al: 0.000 0.500 0.500
Al: 0.250 0.250 0.250
Al: 0.250 0.750 0.750
Al: 0.500 0.000 0.500
Al: 0.500 0.500 0.000
Al: 0.750 0.250 0.750
Al: 0.750 0.750 0.250
Zn: 0.250 0.250 0.750
Zn: 0.250 0.750 0.250
Zn: 0.750 0.250 0.250
Zn: 0.750 0.750 0.750
Cr: 0.000 0.000 0.500
Cr: 0.000 0.500 0.000
Cr: 0.500 0.000 0.000
Cr: 0.500 0.500 0.500

Compound: Nd2Ho8Tm
Source: Alexandria
Functional: GGA-PBE
Structure: optimized geometry

**Total DFT energy (no corrections)**: -4.580 eV per atom
**Space group**: C2/m
**Magnetization**: 0.000 μB/atom

a = 9.392 Å, b = 9.392 Å, c = 7.940 Å
α = 104.70°, β = 104.70°, γ = 30.97°
Positions (direct):
Nd: 0.227 0.227 0.137
Nd: 0.773 0.773 0.863
Ho: 0.044 0.044 0.228
Ho: 0.135 0.135 0.678
Ho: 0.319 0.319 0.592
Ho: 0.411 0.411 0.047
Ho: 0.589 0.589 0.953
Ho: 0.681 0.681 0.408
Ho: 0.865 0.865 0.322
Ho: 0.956 0.956 0.772
Tm: 0.500 0.500 0.500